Model 1:
DFT (PBE-GGA) results for a geometry-optimized Pu3Mg4 structure.

Lattice parameters (Å, degrees): 8.8491 5.2028 8.8517 90.00 119.95 90.00
Space group P2_1/m (No. 11)
Asymmetric unit:
Pu: 0.0528 0.2500 0.2384 x2
Pu: 0.1856 0.2500 0.9468 x2
Pu: 0.2388 0.7500 0.1857 x2
Mg: 0.1003 0.7500 0.4905 x2
Mg: 0.3332 0.2500 0.6664 x2
Mg: 0.3903 0.7500 0.8997 x2
Mg: 0.4905 0.2500 0.3902 x2

---

Model 2:
DFT (PBE-GGA) results for a geometry-optimized Pu3Mg4 structure.

Lattice parameters (Å, degrees): 8.7630 8.7630 5.2617 90.00 90.00 120.00
Space group P6_3/m (No. 176)
Asymmetric unit:
Pu: 0.0949 0.4930 0.2500 x6
Mg: 0.0615 0.2376 0.7500 x6
Mg: 0.3333 0.6667 0.7500 x2

---

Which structure wins on stability? model 1 wins.

---

Model 1:
DFT (PBE-GGA) results for a geometry-optimized PuMgRe structure.

Lattice parameters (Å, degrees): 6.3736 6.3736 6.3736 90.00 90.00 90.00
Space group F-43m (No. 216)
Asymmetric unit:
Pu: 0.0000 0.0000 0.0000 x4
Mg: 0.2500 0.2500 0.7500 x4
Re: 0.2500 0.2500 0.2500 x4

---

Model 2:
DFT (PBE-GGA) results for a geometry-optimized PuMgRe structure.

Lattice parameters (Å, degrees): 6.4303 6.4303 6.4303 90.00 90.00 90.00
Space group F-43m (No. 216)
Asymmetric unit:
Pu: 0.0000 0.0000 0.0000 x4
Mg: 0.0000 0.0000 0.5000 x4
Re: 0.2500 0.2500 0.2500 x4

---

Which structure wins on stability? model 2 wins.

---

Model 1:
DFT (PBE-GGA) results for a geometry-optimized PuMgW structure.

Lattice parameters (Å, degrees): 6.4200 6.4200 6.4200 90.00 90.00 90.00
Space group F-43m (No. 216)
Asymmetric unit:
Pu: 0.0000 0.0000 0.0000 x4
Mg: 0.2500 0.2500 0.7500 x4
W: 0.2500 0.2500 0.2500 x4

---

Model 2:
DFT (PBE-GGA) results for a geometry-optimized PuMgW structure.

Lattice parameters (Å, degrees): 6.3913 6.3913 6.3913 90.00 90.00 90.00
Space group F-43m (No. 216)
Asymmetric unit:
Pu: 0.0000 0.0000 0.0000 x4
Mg: 0.0000 0.0000 0.5000 x4
W: 0.2500 0.2500 0.2500 x4

---

Which structure wins on stability? model 2 wins.

---

Model 1:
DFT (PBE-GGA) results for a geometry-optimized RbMgRe structure.

Lattice parameters (Å, degrees): 7.6578 7.6578 7.6578 90.00 90.00 90.00
Space group F-43m (No. 216)
Asymmetric unit:
Rb: 0.0000 0.0000 0.0000 x4
Mg: 0.2500 0.2500 0.7500 x4
Re: 0.2500 0.2500 0.2500 x4

---

Model 2:
DFT (PBE-GGA) results for a geometry-optimized RbMgRe structure.

Lattice parameters (Å, degrees): 7.2057 7.2057 7.2057 90.00 90.00 90.00
Space group F-43m (No. 216)
Asymmetric unit:
Rb: 0.0000 0.0000 0.0000 x4
Mg: 0.0000 0.0000 0.5000 x4
Re: 0.2500 0.2500 0.7500 x4

---

Which structure wins on stability? model 2 wins.

---

Model 1:
DFT (PBE-GGA) results for a geometry-optimized Mg2Re structure.

Lattice parameters (Å, degrees): 2.6901 15.7957 4.7749 90.00 90.00 90.00
Space group Cmcm (No. 63)
Asymmetric unit:
Mg: 0.0000 0.0488 0.2500 x4
Mg: 0.0000 0.2818 0.7500 x4
Re: 0.0000 0.3812 0.2500 x4

---

Model 2:
DFT (PBE-GGA) results for a geometry-optimized Mg2Re structure.

Lattice parameters (Å, degrees): 8.9195 5.2725 4.4817 90.00 90.00 90.00
Space group Cmcm (No. 63)
Asymmetric unit:
Mg: 0.1631 0.1598 0.2500 x8
Re: 0.0000 0.3850 0.7500 x4

---

Model 3:
DFT (PBE-GGA) results for a geometry-optimized Mg2Re structure.

Lattice parameters (Å, degrees): 6.7554 6.7554 2.6547 90.00 90.00 90.00
Space group P4_2/mnm (No. 136)
Asymmetric unit:
Mg: 0.2389 0.2389 0.0000 x4
Re: 0.0000 0.0000 0.5000 x2

---

Which structure wins on stability? model 2 wins.

---

Model 1:
DFT (PBE-GGA) results for a geometry-optimized Mg2Re structure.

Lattice parameters (Å, degrees): 12.5974 12.5974 12.5974 90.00 90.00 90.00
Space group Fd-3m (No. 227, origin choice 2)
Asymmetric unit:
Mg: 0.0000 0.0000 0.0000 x16
Re: 0.1250 0.1250 0.1250 x8

---

Model 2:
DFT (PBE-GGA) results for a geometry-optimized Mg2Re structure.

Lattice parameters (Å, degrees): 4.9599 4.9599 4.7794 90.00 90.00 120.00
Space group P-62m (No. 189)
Asymmetric unit:
Mg: 0.0000 0.0000 0.0000 x1
Mg: 0.0000 0.3544 0.5000 x3
Re: 0.3333 0.6667 0.0000 x2

---

Which structure wins on stability? model 2 wins.

---

Model 1:
DFT (PBE-GGA) results for a geometry-optimized Mg2Re structure.

Lattice parameters (Å, degrees): 5.2348 5.2348 8.2768 90.00 90.00 120.00
Space group P6_3/mmc (No. 194)
Asymmetric unit:
Mg: 0.0000 0.0000 0.0000 x2
Mg: 0.1742 0.3485 0.2500 x6
Re: 0.3333 0.6667 0.5608 x4

---

Model 2:
DFT (PBE-GGA) results for a geometry-optimized Mg2Re structure.

Lattice parameters (Å, degrees): 2.8755 16.4083 4.5503 90.00 90.00 90.00
Space group Cmcm (No. 63)
Asymmetric unit:
Mg: 0.0000 0.1077 0.2500 x4
Mg: 0.0000 0.2059 0.7500 x4
Re: 0.0000 0.4621 0.2500 x4

---

Which structure wins on stability? model 2 wins.

---

Model 1:
DFT (PBE-GGA) results for a geometry-optimized Mg3Re structure.

Lattice parameters (Å, degrees): 5.8721 5.8721 4.7930 90.00 90.00 120.00
Space group P6_3/mmc (No. 194)
Asymmetric unit:
Mg: 0.1742 0.3484 0.2500 x6
Re: 0.3333 0.6667 0.7500 x2

---

Model 2:
DFT (PBE-GGA) results for a geometry-optimized Mg3Re structure.

Lattice parameters (Å, degrees): 5.8118 10.9135 4.6248 90.00 90.00 90.00
Space group Cmcm (No. 63)
Asymmetric unit:
Mg: 0.0000 0.0770 0.2500 x4
Mg: 0.2433 0.3264 0.2500 x8
Re: 0.0000 0.4461 0.7500 x4

---

Which structure wins on stability? model 2 wins.